Computed, not measured: Tb6Sm2DyTm after structural relaxation at the PBE level of DFT.

```
data_Tb6Sm2DyTm
_chemical_formula_sum 'Tb12 Sm4 Dy2 Tm2'
_space_group_name_H-M_alt 'P 1'
_space_group_IT_number 1
_cell_length_a 9.6396
_cell_length_b 8.7844
_cell_length_c 8.7844
_cell_angle_alpha 118.09
_cell_angle_beta 94.32
_cell_angle_gamma 94.32
loop_
_space_group_symop_operation_xyz
'x,y,z'
loop_
_atom_site_label
_atom_site_fract_x
_atom_site_fract_y
_atom_site_fract_z
_atom_site_occupancy
Tb1 0.6198 0.4970 0.7086 1
Tb2 0.8802 0.2914 0.5030 1
Tb3 0.3129 0.9815 0.4273 1
Tb4 0.3802 0.5030 0.2914 1
Tb5 0.0563 0.1248 0.7491 1
Tb6 0.5563 0.7491 0.1248 1
Tb7 0.1871 0.5727 0.0185 1
Tb8 0.6871 0.0185 0.5727 1
Tb9 0.4437 0.2509 0.8752 1
Tb10 0.8129 0.4273 0.9815 1
Tb11 0.9437 0.8752 0.2509 1
Tb12 0.1198 0.7086 0.4970 1
Tm1 0.7500 0.5920 0.4080 1
Tm2 0.2500 0.4080 0.5920 1
Sm1 0.4572 0.8036 0.7002 1
Sm2 0.5428 0.1964 0.2998 1
Sm3 0.0428 0.2998 0.1964 1
Sm4 0.9572 0.7002 0.8036 1
Dy1 0.2500 0.9797 0.0203 1
Dy2 0.7500 0.0203 0.9797 1
```

* DFT formation energy: 116 meV/atom
* density: 8113 kg/m³
* space-group type: C2/c



Computed, not measured: Tb2Sm4Dy2Tm after structural relaxation at the PBE level of DFT.

```
data_Tb2Sm4Dy2Tm
_chemical_formula_sum 'Tb2 Sm4 Dy2 Tm1'
_space_group_name_H-M_alt 'P 1'
_space_group_IT_number 1
_cell_length_a 3.5728
_cell_length_b 9.4684
_cell_length_c 8.7785
_cell_angle_alpha 89.96
_cell_angle_beta 90.00
_cell_angle_gamma 100.88
loop_
_space_group_symop_operation_xyz
'x,y,z'
loop_
_atom_site_label
_atom_site_fract_x
_atom_site_fract_y
_atom_site_fract_z
_atom_site_occupancy
Sm1 0.5549 0.1098 0.3310 1
Sm2 0.7776 0.5552 0.6692 1
Sm3 0.4451 0.8902 0.6690 1
Sm4 0.2224 0.4448 0.3308 1
Dy1 0.3340 0.6680 0.0004 1
Dy2 0.6660 0.3320 0.9996 1
Tm1 0.0000 0.0000 0.0000 1
Tb1 0.8890 0.7780 0.3308 1
Tb2 0.1110 0.2220 0.6692 1
```

* DFT formation energy: 17 meV/atom
* density: 8047 kg/m³
* space-group type: C2/m



Computed, not measured: TbSmDyTm after structural relaxation at the PBE level of DFT.

```
data_TbSmDyTm
_chemical_formula_sum 'Tb1 Sm1 Dy1 Tm1'
_space_group_name_H-M_alt 'P 1'
_space_group_IT_number 1
_cell_length_a 3.4331
_cell_length_b 6.6987
_cell_length_c 5.6094
_cell_angle_alpha 90.01
_cell_angle_beta 90.00
_cell_angle_gamma 90.00
loop_
_space_group_symop_operation_xyz
'x,y,z'
loop_
_atom_site_label
_atom_site_fract_x
_atom_site_fract_y
_atom_site_fract_z
_atom_site_occupancy
Dy1 0.0000 0.1945 0.0164 1
Tm1 0.0000 0.4552 0.5164 1
Sm1 0.0000 0.9404 0.5162 1
Tb1 0.5000 0.6903 0.0163 1
```

* polymorph energy (0 for the lowest one): 67 meV/atom
* DFT formation energy: 198 meV/atom
* density: 8248 kg/m³
* space-group type: Pmm2



Computed, not measured: Tb2Sm4DyTm2 after structural relaxation at the PBE level of DFT.

```
data_Tb2Sm4DyTm2
_chemical_formula_sum 'Tb2 Sm4 Dy1 Tm2'
_space_group_name_H-M_alt 'P 1'
_space_group_IT_number 1
_cell_length_a 5.0476
_cell_length_b 7.9944
_cell_length_c 7.9820
_cell_angle_alpha 107.49
_cell_angle_beta 90.00
_cell_angle_gamma 108.40
loop_
_space_group_symop_operation_xyz
'x,y,z'
loop_
_atom_site_label
_atom_site_fract_x
_atom_site_fract_y
_atom_site_fract_z
_atom_site_occupancy
Tb1 0.1114 0.2229 0.6688 1
Tb2 0.8886 0.7771 0.3312 1
Tm1 0.3327 0.6653 0.0001 1
Tm2 0.6673 0.3347 0.9999 1
Sm1 0.4454 0.8908 0.6691 1
Sm2 0.2224 0.4448 0.3315 1
Sm3 0.5546 0.1092 0.3309 1
Sm4 0.7776 0.5552 0.6685 1
Dy1 0.0000 0.0000 0.0000 1
```

* DFT formation energy: 20 meV/atom
* density: 8132 kg/m³
* space-group type: C2/m



Computed, not measured: TbSm6DyTm2 after structural relaxation at the PBE level of DFT.

```
data_TbSm6DyTm2
_chemical_formula_sum 'Tb2 Sm12 Dy2 Tm4'
_space_group_name_H-M_alt 'P 1'
_space_group_IT_number 1
_cell_length_a 9.5646
_cell_length_b 8.8549
_cell_length_c 8.8549
_cell_angle_alpha 117.50
_cell_angle_beta 93.73
_cell_angle_gamma 93.73
loop_
_space_group_symop_operation_xyz
'x,y,z'
loop_
_atom_site_label
_atom_site_fract_x
_atom_site_fract_y
_atom_site_fract_z
_atom_site_occupancy
Tm1 0.0465 0.2997 0.2003 1
Tm2 0.9535 0.7003 0.7997 1
Tm3 0.4535 0.7997 0.7003 1
Tm4 0.5465 0.2003 0.2997 1
Sm1 0.0546 0.1165 0.7596 1
Sm2 0.3154 0.9876 0.4371 1
Sm3 0.1846 0.5629 0.0124 1
Sm4 0.5546 0.7596 0.1165 1
Sm5 0.4454 0.2404 0.8835 1
Sm6 0.6846 0.0124 0.5629 1
Sm7 0.6186 0.4890 0.7072 1
Sm8 0.8154 0.4371 0.9876 1
Sm9 0.9454 0.8835 0.2404 1
Sm10 0.1186 0.7072 0.4890 1
Sm11 0.3814 0.5110 0.2928 1
Sm12 0.8814 0.2928 0.5110 1
Tb1 0.7500 0.0283 0.9717 1
Tb2 0.2500 0.9717 0.0283 1
Dy1 0.2500 0.4099 0.5901 1
Dy2 0.7500 0.5901 0.4099 1
```

* DFT formation energy: 119 meV/atom
* density: 7858 kg/m³
* space-group type: C2/c



Computed, not measured: TbSmDy2Tm6 after structural relaxation at the PBE level of DFT.

```
data_TbSmDy2Tm6
_chemical_formula_sum 'Tb2 Sm2 Dy4 Tm12'
_space_group_name_H-M_alt 'P 1'
_space_group_IT_number 1
_cell_length_a 9.4576
_cell_length_b 8.6969
_cell_length_c 8.6969
_cell_angle_alpha 117.86
_cell_angle_beta 93.83
_cell_angle_gamma 93.83
loop_
_space_group_symop_operation_xyz
'x,y,z'
loop_
_atom_site_label
_atom_site_fract_x
_atom_site_fract_y
_atom_site_fract_z
_atom_site_occupancy
Sm1 0.7500 0.0242 0.9758 1
Sm2 0.2500 0.9758 0.0242 1
Tm1 0.9424 0.8755 0.2513 1
Tm2 0.1829 0.5698 0.0216 1
Tm3 0.0576 0.1245 0.7487 1
Tm4 0.3816 0.5072 0.2910 1
Tm5 0.8171 0.4302 0.9784 1
Tm6 0.6829 0.0216 0.5698 1
Tm7 0.5576 0.7487 0.1245 1
Tm8 0.4424 0.2513 0.8755 1
Tm9 0.8816 0.2910 0.5072 1
Tm10 0.6184 0.4928 0.7090 1
Tm11 0.1184 0.7090 0.4928 1
Tm12 0.3171 0.9784 0.4302 1
Tb1 0.7500 0.5910 0.4090 1
Tb2 0.2500 0.4090 0.5910 1
Dy1 0.4547 0.8043 0.6981 1
Dy2 0.0453 0.3019 0.1957 1
Dy3 0.5453 0.1957 0.3019 1
Dy4 0.9547 0.6981 0.8043 1
```

* DFT formation energy: 124 meV/atom
* density: 8727 kg/m³
* space-group type: C2/c



Computed, not measured: Tb2SmDyTm2 after structural relaxation at the PBE level of DFT.

```
data_Tb2SmDyTm2
_chemical_formula_sum 'Tb4 Sm2 Dy2 Tm4'
_space_group_name_H-M_alt 'P 1'
_space_group_IT_number 1
_cell_length_a 3.3843
_cell_length_b 6.4870
_cell_length_c 17.7678
_cell_angle_alpha 90.00
_cell_angle_beta 90.00
_cell_angle_gamma 90.00
loop_
_space_group_symop_operation_xyz
'x,y,z'
loop_
_atom_site_label
_atom_site_fract_x
_atom_site_fract_y
_atom_site_fract_z
_atom_site_occupancy
Sm1 0.5000 0.5000 0.5000 1
Sm2 0.0000 0.0000 0.0000 1
Tb1 0.5000 0.7236 0.6873 1
Tb2 0.0000 0.2236 0.8127 1
Tb3 0.0000 0.7764 0.1873 1
Tb4 0.5000 0.2764 0.3127 1
Tm1 0.5000 0.7782 0.3528 1
Tm2 0.5000 0.2218 0.6472 1
Tm3 0.0000 0.7218 0.8528 1
Tm4 0.0000 0.2782 0.1472 1
Dy1 0.5000 0.5000 0.0000 1
Dy2 0.0000 0.0000 0.5000 1
```

* DFT formation energy: 279 meV/atom
* density: 8246 kg/m³
* space-group type: Pnnm



Computed, not measured: TbSmDy2Tm4 after structural relaxation at the PBE level of DFT.

```
data_TbSmDy2Tm4
_chemical_formula_sum 'Tb1 Sm1 Dy2 Tm4'
_space_group_name_H-M_alt 'P 1'
_space_group_IT_number 1
_cell_length_a 4.9890
_cell_length_b 4.9923
_cell_length_c 11.1324
_cell_angle_alpha 63.36
_cell_angle_beta 90.00
_cell_angle_gamma 90.00
loop_
_space_group_symop_operation_xyz
'x,y,z'
loop_
_atom_site_label
_atom_site_fract_x
_atom_site_fract_y
_atom_site_fract_z
_atom_site_occupancy
Tb1 0.5000 0.5000 0.0000 1
Tm1 0.5000 0.7493 0.2490 1
Tm2 0.0000 0.2500 0.2486 1
Tm3 0.5000 0.2507 0.7509 1
Tm4 0.0000 0.7500 0.7514 1
Dy1 0.5000 0.0000 0.5000 1
Dy2 0.0000 0.0000 0.0000 1
Sm1 0.0000 0.5000 0.5000 1
```

* DFT formation energy: 22 meV/atom
* density: 8777 kg/m³
* space-group type: P2/m



Computed, not measured: Tb2Sm3Dy6Tm after structural relaxation at the PBE level of DFT.

```
data_Tb2Sm3Dy6Tm
_chemical_formula_sum 'Tb2 Sm3 Dy6 Tm1'
_space_group_name_H-M_alt 'P 1'
_space_group_IT_number 1
_cell_length_a 6.1670
_cell_length_b 6.1670
_cell_length_c 11.7952
_cell_angle_alpha 94.98
_cell_angle_beta 94.98
_cell_angle_gamma 119.96
loop_
_space_group_symop_operation_xyz
'x,y,z'
loop_
_atom_site_label
_atom_site_fract_x
_atom_site_fract_y
_atom_site_fract_z
_atom_site_occupancy
Dy1 0.4157 0.0827 0.2474 1
Dy2 0.0827 0.4157 0.2474 1
Dy3 0.5843 0.9173 0.7526 1
Dy4 0.9173 0.5843 0.7526 1
Dy5 0.2501 0.2501 0.7523 1
Dy6 0.7499 0.7499 0.2477 1
Sm1 0.1666 0.8334 0.5000 1
Sm2 0.8334 0.1666 0.5000 1
Sm3 0.5000 0.5000 0.5000 1
Tb1 0.6666 0.3334 0.0000 1
Tb2 0.3334 0.6666 0.0000 1
Tm1 0.0000 0.0000 0.0000 1
```

* DFT formation energy: 16 meV/atom
* density: 8299 kg/m³
* space-group type: C2/m



Computed, not measured: TbSmDy5Tm2 after structural relaxation at the PBE level of DFT.

```
data_TbSmDy5Tm2
_chemical_formula_sum 'Tb2 Sm2 Dy10 Tm4'
_space_group_name_H-M_alt 'P 1'
_space_group_IT_number 1
_cell_length_a 5.5793
_cell_length_b 10.2858
_cell_length_c 10.5125
_cell_angle_alpha 90.00
_cell_angle_beta 90.00
_cell_angle_gamma 105.74
loop_
_space_group_symop_operation_xyz
'x,y,z'
loop_
_atom_site_label
_atom_site_fract_x
_atom_site_fract_y
_atom_site_fract_z
_atom_site_occupancy
Tm1 0.1139 0.2277 0.3187 1
Tm2 0.8895 0.7791 0.2366 1
Tm3 0.8861 0.7723 0.8187 1
Tm4 0.1105 0.2209 0.7366 1
Sm1 0.5850 0.1700 0.9516 1
Sm2 0.4150 0.8300 0.4516 1
Dy1 0.4783 0.9565 0.7375 1
Dy2 0.5217 0.0435 0.2375 1
Dy3 0.2812 0.5624 0.3111 1
Dy4 0.9825 0.9649 0.5244 1
Dy5 0.6105 0.2209 0.5237 1
Dy6 0.7010 0.4020 0.2084 1
Dy7 0.3895 0.7791 0.0237 1
Dy8 0.0175 0.0351 0.0244 1
Dy9 0.7188 0.4376 0.8111 1
Dy10 0.2990 0.5980 0.7084 1
Tb1 0.1995 0.3990 0.0120 1
Tb2 0.8005 0.6010 0.5120 1
```

* DFT formation energy: 160 meV/atom
* density: 8348 kg/m³
* space-group type: Cmc2_1



Computed, not measured: TbSm3DyTm after structural relaxation at the PBE level of DFT.

```
data_TbSm3DyTm
_chemical_formula_sum 'Tb2 Sm6 Dy2 Tm2'
_space_group_name_H-M_alt 'P 1'
_space_group_IT_number 1
_cell_length_a 5.0499
_cell_length_b 8.0108
_cell_length_c 10.1201
_cell_angle_alpha 90.00
_cell_angle_beta 90.00
_cell_angle_gamma 108.37
loop_
_space_group_symop_operation_xyz
'x,y,z'
loop_
_atom_site_label
_atom_site_fract_x
_atom_site_fract_y
_atom_site_fract_z
_atom_site_occupancy
Sm1 0.8333 0.6665 0.2500 1
Sm2 0.3340 0.6679 0.9998 1
Sm3 0.6660 0.3321 0.0002 1
Sm4 0.6660 0.3321 0.4998 1
Sm5 0.3340 0.6679 0.5002 1
Sm6 0.1667 0.3335 0.7500 1
Tb1 0.0000 0.0000 0.0000 1
Tb2 0.0000 0.0000 0.5000 1
Dy1 0.4989 0.9978 0.7500 1
Dy2 0.5011 0.0022 0.2500 1
Tm1 0.8342 0.6684 0.7500 1
Tm2 0.1658 0.3316 0.2500 1
```

* DFT formation energy: 18 meV/atom
* density: 8047 kg/m³
* space-group type: Cmcm



Computed, not measured: TbSm2Dy2Tm after structural relaxation at the PBE level of DFT.

```
data_TbSm2Dy2Tm
_chemical_formula_sum 'Tb2 Sm4 Dy4 Tm2'
_space_group_name_H-M_alt 'P 1'
_space_group_IT_number 1
_cell_length_a 3.5225
_cell_length_b 6.0934
_cell_length_c 18.2427
_cell_angle_alpha 90.00
_cell_angle_beta 90.00
_cell_angle_gamma 90.00
loop_
_space_group_symop_operation_xyz
'x,y,z'
loop_
_atom_site_label
_atom_site_fract_x
_atom_site_fract_y
_atom_site_fract_z
_atom_site_occupancy
Dy1 0.5000 0.1660 0.6558 1
Dy2 0.0000 0.6660 0.8442 1
Dy3 0.0000 0.3340 0.1558 1
Dy4 0.5000 0.8340 0.3442 1
Tb1 0.0000 0.0000 0.5000 1
Tb2 0.5000 0.5000 0.0000 1
Sm1 0.0000 0.3332 0.3446 1
Sm2 0.5000 0.1668 0.8446 1
Sm3 0.0000 0.6668 0.6554 1
Sm4 0.5000 0.8332 0.1554 1
Tm1 0.0000 0.0000 0.0000 1
Tm2 0.5000 0.5000 0.5000 1
```

* DFT formation energy: 101 meV/atom
* density: 8088 kg/m³
* space-group type: Pnnm